# PBE La2HgAs, optimized geometry
# N(E_F) in states/eV/f.u.: 3.9
# Energy of formation in eV per formula unit: -2.9
data_La2HgAs
_chemical_formula_sum 'La4 Hg2 As2'
_cell_length_a 4.4827
_cell_length_b 4.4827
_cell_length_c 11.0955
_cell_angle_alpha 90.00
_cell_angle_beta 90.00
_cell_angle_gamma 90.00
_symmetry_space_group_name_H-M 'I -4 m 2'
_symmetry_Int_Tables_number 119
_symmetry_space_group_name_Hall 'I -4 -2'
loop_
_atom_site_label
_atom_site_type_symbol
_atom_site_fract_x
_atom_site_fract_y
_atom_site_fract_z
_atom_site_occupancy
La1 La 0.0000 0.0000 0.0000 1
La2 La 0.0000 0.5000 0.2500 1
Hg1 Hg 0.0000 0.0000 0.5000 1
As1 As 0.0000 0.5000 0.7500 1

***

# PBE La2HgAs, optimized geometry
# N(E_F) in states/eV/f.u.: 6.1
# Energy of formation in eV per formula unit: -2.7
data_La2HgAs
_chemical_formula_sum 'La8 Hg4 As4'
_cell_length_a 8.1673
_cell_length_b 8.1673
_cell_length_c 7.7710
_cell_angle_alpha 90.00
_cell_angle_beta 90.00
_cell_angle_gamma 90.00
_symmetry_space_group_name_H-M 'I -4 2 d'
_symmetry_Int_Tables_number 122
_symmetry_space_group_name_Hall 'I -4 2bw'
loop_
_atom_site_label
_atom_site_type_symbol
_atom_site_fract_x
_atom_site_fract_y
_atom_site_fract_z
_atom_site_occupancy
La1 La 0.2308 0.2500 0.1250 1
Hg1 Hg 0.0000 0.0000 0.5000 1
As1 As 0.0000 0.0000 0.0000 1

***

# PBE La5Hg2As, optimized geometry
# N(E_F) in states/eV/f.u.: 11.5
# Energy of formation in eV per formula unit: -4.7
data_La5Hg2As
_chemical_formula_sum 'La10 Hg4 As2'
_cell_length_a 9.5092
_cell_length_b 13.1307
_cell_length_c 4.2038
_cell_angle_alpha 90.00
_cell_angle_beta 90.00
_cell_angle_gamma 90.00
_symmetry_space_group_name_H-M 'P b a m'
_symmetry_Int_Tables_number 55
loop_
_symmetry_equiv_pos_as_xyz
'x,y,z'
'-x,-y,-z'
'-x,-y,z'
'x,y,-z'
'x+1/2,-y+1/2,-z'
'-x+1/2,y+1/2,z'
'-x+1/2,y+1/2,-z'
'x+1/2,-y+1/2,z'
loop_
_atom_site_label
_atom_site_type_symbol
_atom_site_fract_x
_atom_site_fract_y
_atom_site_fract_z
_atom_site_occupancy
La1 La 0.0000 0.0000 0.0000 1
La2 La 0.1399 0.2964 0.0000 1
La3 La 0.1957 0.5719 0.5000 1
Hg1 Hg 0.0848 0.8213 0.5000 1
As1 As 0.0000 0.5000 0.0000 1

***

# PBE LaHg2As2, optimized geometry
# N(E_F) in states/eV/f.u.: 3.1
# Energy of formation in eV per formula unit: -1.5
data_LaHg2As2
_chemical_formula_sum 'La2 Hg4 As4'
_cell_length_a 5.1185
_cell_length_b 5.1185
_cell_length_c 9.7028
_cell_angle_alpha 90.00
_cell_angle_beta 90.00
_cell_angle_gamma 90.00
_symmetry_space_group_name_H-M 'I 4/m m m'
_symmetry_Int_Tables_number 139
_symmetry_space_group_name_Hall '-I 4 2'
loop_
_atom_site_label
_atom_site_type_symbol
_atom_site_fract_x
_atom_site_fract_y
_atom_site_fract_z
_atom_site_occupancy
La1 La 0.0000 0.0000 0.0000 1
Hg1 Hg 0.0000 0.0000 0.3608 1
As1 As 0.0000 0.5000 0.2500 1

***

# PBE La2HgAs, optimized geometry
# N(E_F) in states/eV/f.u.: 5.2
# Energy of formation in eV per formula unit: -0.9
data_La2HgAs
_chemical_formula_sum 'La8 Hg4 As4'
_cell_length_a 7.5474
_cell_length_b 7.5474
_cell_length_c 7.5474
_cell_angle_alpha 90.00
_cell_angle_beta 90.00
_cell_angle_gamma 90.00
_symmetry_space_group_name_H-M 'F -4 3 m'
_symmetry_Int_Tables_number 216
_symmetry_space_group_name_Hall 'F -4 2 3'
loop_
_atom_site_label
_atom_site_type_symbol
_atom_site_fract_x
_atom_site_fract_y
_atom_site_fract_z
_atom_site_occupancy
La1 La 0.0000 0.0000 0.0000 1
La2 La 0.2500 0.2500 0.2500 1
Hg1 Hg 0.2500 0.2500 0.7500 1
As1 As 0.0000 0.0000 0.5000 1

***

# PBE La2HgAs, optimized geometry
# N(E_F) in states/eV/f.u.: 3.9
# Energy of formation in eV per formula unit: -3.6
data_La2HgAs
_chemical_formula_sum 'La2 Hg1 As1'
_cell_length_a 3.9015
_cell_length_b 3.9015
_cell_length_c 7.2805
_cell_angle_alpha 90.00
_cell_angle_beta 90.00
_cell_angle_gamma 90.00
_symmetry_space_group_name_H-M 'P 4/m m m'
_symmetry_Int_Tables_number 123
_symmetry_space_group_name_Hall '-P 4 2'
loop_
_atom_site_label
_atom_site_type_symbol
_atom_site_fract_x
_atom_site_fract_y
_atom_site_fract_z
_atom_site_occupancy
La1 La 0.0000 0.0000 0.2265 1
Hg1 Hg 0.5000 0.5000 0.5000 1
As1 As 0.5000 0.5000 0.0000 1

***

# PBE La2HgAs, optimized geometry
# N(E_F) in states/eV/f.u.: 5.5
# Energy of formation in eV per formula unit: -3.8
data_La2HgAs
_chemical_formula_sum 'La6 Hg3 As3'
_cell_length_a 4.3047
_cell_length_b 4.3047
_cell_length_c 23.7146
_cell_angle_alpha 90.00
_cell_angle_beta 90.00
_cell_angle_gamma 120.00
_symmetry_space_group_name_H-M 'R -3 m'
_symmetry_Int_Tables_number 166
_symmetry_space_group_name_Hall '-R 3 2"'
loop_
_atom_site_label
_atom_site_type_symbol
_atom_site_fract_x
_atom_site_fract_y
_atom_site_fract_z
_atom_site_occupancy
La1 La 0.0000 0.0000 0.2394 1
Hg1 Hg 0.0000 0.0000 0.0000 1
As1 As 0.0000 0.0000 0.5000 1

***

# PBE Li2LaHgAs, optimized geometry
# N(E_F) in states/eV/f.u.: 4.6
# Energy of formation in eV per formula unit: 2.4
data_Li2LaHgAs
_chemical_formula_sum 'Li2 La1 Hg1 As1'
_cell_length_a 6.7323
_cell_length_b 6.7323
_cell_length_c 5.4720
_cell_angle_alpha 90.00
_cell_angle_beta 90.00
_cell_angle_gamma 90.00
_symmetry_space_group_name_H-M 'P 4/m m m'
_symmetry_Int_Tables_number 123
_symmetry_space_group_name_Hall '-P 4 2'
loop_
_atom_site_label
_atom_site_type_symbol
_atom_site_fract_x
_atom_site_fract_y
_atom_site_fract_z
_atom_site_occupancy
Li1 Li 0.0000 0.5000 0.0000 1
La1 La 0.0000 0.0000 0.0000 1
Hg1 Hg 0.5000 0.5000 0.5000 1
As1 As 0.0000 0.0000 0.5000 1

***

What did the fourth record say?
# PBE LaHg2As2, optimized geometry
# N(E_F) in states/eV/f.u.: 3.1
# Energy of formation in eV per formula unit: -1.5
data_LaHg2As2
_chemical_formula_sum 'La2 Hg4 As4'
_cell_length_a 5.1185
_cell_length_b 5.1185
_cell_length_c 9.7028
_cell_angle_alpha 90.00
_cell_angle_beta 90.00
_cell_angle_gamma 90.00
_symmetry_space_group_name_H-M 'I 4/m m m'
_symmetry_Int_Tables_number 139
_symmetry_space_group_name_Hall '-I 4 2'
loop_
_atom_site_label
_atom_site_type_symbol
_atom_site_fract_x
_atom_site_fract_y
_atom_site_fract_z
_atom_site_occupancy
La1 La 0.0000 0.0000 0.0000 1
Hg1 Hg 0.0000 0.0000 0.3608 1
As1 As 0.0000 0.5000 0.2500 1

***

Number 4 is which compound?
LaHg2As2

***

What is the formula in the sixth record?
La2HgAs

***

Repeat the fifth record exactly.
# PBE La2HgAs, optimized geometry
# N(E_F) in states/eV/f.u.: 5.2
# Energy of formation in eV per formula unit: -0.9
data_La2HgAs
_chemical_formula_sum 'La8 Hg4 As4'
_cell_length_a 7.5474
_cell_length_b 7.5474
_cell_length_c 7.5474
_cell_angle_alpha 90.00
_cell_angle_beta 90.00
_cell_angle_gamma 90.00
_symmetry_space_group_name_H-M 'F -4 3 m'
_symmetry_Int_Tables_number 216
_symmetry_space_group_name_Hall 'F -4 2 3'
loop_
_atom_site_label
_atom_site_type_symbol
_atom_site_fract_x
_atom_site_fract_y
_atom_site_fract_z
_atom_site_occupancy
La1 La 0.0000 0.0000 0.0000 1
La2 La 0.2500 0.2500 0.2500 1
Hg1 Hg 0.2500 0.2500 0.7500 1
As1 As 0.0000 0.0000 0.5000 1